Computed, not measured: VCo2Ni8 after structural relaxation at the GGA-PBE level of DFT.

The structure belongs to space group C2/m (No. 12); the cell edges are 12.7876, 3.5133 and 5.5783 Å and the angles 90.00°, 104.97° and 90.00°. Symmetry generates all atoms from V at (0.0000, 0.0000, 0.0000), Co at (0.2258, 0.5000, 0.6295), Ni at (0.0469, 0.5000, 0.7279), Ni at (0.0921, 0.0000, 0.4520), Ni at (0.1353, 0.5000, 0.1823) and Ni at (0.1834, 0.0000, 0.9139).

For the polymorph energy (0 for the lowest one), the calculation gives 0.000 eV/atom. The formation energy is -0.0694 eV per atom.